Entry from Alexandria via LeMat-Bulk: an optimized crystal structure of LiCoPO4 (GGA+U).

Calculated values
- distance to the lowest polymorph of the same formula (meV per atom) = 98
- crystal system = hexagonal
- symmetry = P6_422, No. 181
- total magnetic moment (μB per formula unit) = 3.00
- DOS at the Fermi energy (states/eV per cell) = 0.0

Unit cell a=10.4883 b=10.4883 c=12.2437 alpha=90.00 beta=90.00 gamma=120.00
Element x y z (fractional)
Li1 0.0000 0.7463 0.8333
Li2 0.0000 0.2537 0.8333
Li3 0.2512 0.7488 0.1667
Li4 0.2512 0.5024 0.5000
Li5 0.4976 0.7488 0.8333
Li6 0.2537 0.2537 0.1667
Li7 0.2537 0.0000 0.5000
Li8 0.7463 0.7463 0.1667
Li9 0.5024 0.2512 0.8333
Li10 0.7488 0.4976 0.5000
Li11 0.7488 0.2512 0.1667
Li12 0.7463 0.0000 0.5000
Co1 0.0000 0.5000 0.0082
Co2 0.0000 0.5000 0.6584
Co3 0.0000 0.5000 0.3333
Co4 0.0000 0.0000 0.1667
Co5 0.0000 0.0000 0.5000
Co6 0.0000 0.0000 0.8333
Co7 0.5000 0.5000 0.3416
Co8 0.5000 0.5000 0.6667
Co9 0.5000 0.5000 0.9918
Co10 0.5000 0.0000 0.3251
Co11 0.5000 0.0000 0.0000
Co12 0.5000 0.0000 0.6749
P1 0.0000 0.7556 0.3333
P2 0.2461 0.7539 0.6667
P3 0.0000 0.2444 0.3333
P4 0.2461 0.4921 0.0000
P5 0.2444 0.2444 0.6667
P6 0.5079 0.7539 0.3333
P7 0.2444 0.0000 0.0000
P8 0.4921 0.2461 0.3333
P9 0.7556 0.7556 0.6667
P10 0.7539 0.5079 0.0000
P11 0.7539 0.2461 0.6667
P12 0.7556 0.0000 0.0000
O1 0.0676 0.8768 0.4227
O2 0.1232 0.9324 0.9106
O3 0.0995 0.6986 0.7308
O4 0.1125 0.7150 0.2829
O5 0.2850 0.8875 0.0504
O6 0.3014 0.9005 0.6025
O7 0.2013 0.6193 0.5902
O8 0.0995 0.4009 0.9358
O9 0.2013 0.5820 0.0764
O10 0.1125 0.3975 0.3838
O11 0.0676 0.1908 0.2439
O12 0.3807 0.7987 0.7431
O13 0.4180 0.7987 0.2569
O14 0.1232 0.1908 0.7561
O15 0.2850 0.3975 0.6162
O16 0.3807 0.5820 0.9236
O17 0.3014 0.4009 0.0642
O18 0.4180 0.6193 0.4098
O19 0.1908 0.1232 0.5773
O20 0.1908 0.0676 0.0894
O21 0.5991 0.9005 0.3975
O22 0.6025 0.8875 0.9496
O23 0.6025 0.7150 0.7171
O24 0.4009 0.3014 0.2692
O25 0.5991 0.6986 0.2692
O26 0.3975 0.2850 0.7171
O27 0.3975 0.1125 0.9496
O28 0.4009 0.0995 0.3975
O29 0.8092 0.9324 0.0894
O30 0.8092 0.8768 0.5773
O31 0.5820 0.3807 0.4098
O32 0.6986 0.5991 0.0642
O33 0.6193 0.4180 0.9236
O34 0.7150 0.6025 0.6162
O35 0.8768 0.8092 0.7561
O36 0.5820 0.2013 0.2569
O37 0.6193 0.2013 0.7431
O38 0.9324 0.8092 0.2439
O39 0.8875 0.6025 0.3838
O40 0.7987 0.4180 0.0764
O41 0.9005 0.5991 0.9358
O42 0.7987 0.3807 0.5902
O43 0.6986 0.0995 0.6025
O44 0.7150 0.1125 0.0504
O45 0.8875 0.2850 0.2829
O46 0.9005 0.3014 0.7308
O47 0.8768 0.0676 0.9106
O48 0.9324 0.1232 0.4227